Record 1
# ScUC2

A geometry-optimized ScUC2 structure (PBE, Alexandria).

**Energy relative to the lowest polymorph listed for this composition**: 0 meV/atom
**D(E_F)**: 2.647 states/eV per cell
**DFT total energy**: -9.349 eV per atom
**Formation energy**: -0.332 eV/atom
**Space group**: No. 166

Cell lengths 5.8274, 5.8274, 5.8274 Å; angles 34.69, 34.69, 34.69 degrees
Last column: nearest neighbours and their distance in Å.
Positions (direct):
Sc: 0.0000 0.0000 0.0000  6 C 2.47
U: 0.5000 0.5000 0.5000  6 C 2.38
C: 0.2451 0.2451 0.2451  3 U 2.38, 3 Sc 2.47
C: 0.7549 0.7549 0.7549  3 U 2.38, 3 Sc 2.47

Record 2
# ScUC2

A geometry-optimized ScUC2 structure (PBE, Alexandria).

**Energy relative to the lowest polymorph listed for this composition**: 29 meV/atom
**D(E_F)**: 7.794 states/eV per cell
**DFT total energy**: -9.319 eV per atom
**Formation energy**: -0.303 eV/atom
**Space group**: No. 194

Cell lengths 3.4705, 3.4705, 11.0031 Å; angles 90.00, 90.00, 120.00 degrees
Last column: nearest neighbours and their distance in Å.
Positions (direct):
Sc: 0.3333 0.6667 0.2500  6 C 2.49
Sc: 0.6667 0.3333 0.7500  6 C 2.49
U: 0.0000 0.0000 0.0000  6 C 2.38
U: 0.0000 0.0000 0.5000  6 C 2.38
C: 0.3333 0.6667 0.6163  3 U 2.38, 3 Sc 2.49
C: 0.3333 0.6667 0.8837  3 U 2.38, 3 Sc 2.49
C: 0.6667 0.3333 0.1163  3 U 2.38, 3 Sc 2.49
C: 0.6667 0.3333 0.3837  3 U 2.38, 3 Sc 2.49

Record 3
# Sc2UC2

A geometry-optimized Sc2UC2 structure (PBE, Alexandria).

**D(E_F)**: 15.423 states/eV per cell
**DFT total energy**: -8.592 eV per atom
**Formation energy**: -0.112 eV/atom
**Space group**: No. 60

Cell lengths 8.9460, 6.4143, 5.3068 Å; angles 90.00, 90.00, 90.00 degrees
Last column: nearest neighbours and their distance in Å.
Positions (direct):
Sc: 0.1587 0.1223 0.0610  4 C 2.31-2.46
Sc: 0.1587 0.8777 0.5610  4 C 2.31-2.46
Sc: 0.3413 0.3777 0.5610  4 C 2.31-2.46
Sc: 0.3413 0.6223 0.0610  4 C 2.31-2.46
Sc: 0.6587 0.3777 0.9390  4 C 2.31-2.46
Sc: 0.6587 0.6223 0.4390  4 C 2.31-2.46
Sc: 0.8413 0.1223 0.4390  4 C 2.31-2.46
Sc: 0.8413 0.8777 0.9390  4 C 2.31-2.46
U: 0.0000 0.4711 0.7500  4 C 2.30-2.50
U: 0.0000 0.5289 0.2500  4 C 2.30-2.50
U: 0.5000 0.0289 0.2500  4 C 2.30-2.50
U: 0.5000 0.9711 0.7500  4 C 2.30-2.50
C: 0.1050 0.2254 0.4877  2 U 2.30-2.50, 4 Sc 2.31-2.46
C: 0.1050 0.7746 0.9877  2 U 2.30-2.50, 4 Sc 2.31-2.46
C: 0.3950 0.2746 0.9877  2 U 2.30-2.50, 4 Sc 2.31-2.46
C: 0.3950 0.7254 0.4877  2 U 2.30-2.50, 4 Sc 2.31-2.46
C: 0.6050 0.2746 0.5123  2 U 2.30-2.50, 4 Sc 2.31-2.46
C: 0.6050 0.7254 0.0123  2 U 2.30-2.50, 4 Sc 2.31-2.46
C: 0.8950 0.2254 0.0123  2 U 2.30-2.50, 4 Sc 2.31-2.46
C: 0.8950 0.7746 0.5123  2 U 2.30-2.50, 4 Sc 2.31-2.46

Record 4
# Sc3UC3

A geometry-optimized Sc3UC3 structure (PBE, Alexandria).

**D(E_F)**: 11.431 states/eV per cell
**DFT total energy**: -8.396 eV per atom
**Formation energy**: -0.117 eV/atom
**Space group**: No. 12

Cell lengths 6.1748, 6.1748, 6.4820 Å; angles 107.33, 107.33, 98.27 degrees
Last column: nearest neighbours and their distance in Å.
Positions (direct):
Sc: 0.1714 0.8286 0.0000  4 C 2.30-2.31
Sc: 0.1900 0.8100 0.5000  4 C 2.38-2.44
Sc: 0.2952 0.2952 0.4318  3 C 2.19-2.28
Sc: 0.7048 0.7048 0.5682  3 C 2.19-2.28
Sc: 0.8100 0.1900 0.5000  4 C 2.38-2.44
Sc: 0.8286 0.1714 0.0000  4 C 2.30-2.31
U: 0.3293 0.3293 0.9447  3 C 2.22-2.29
U: 0.6707 0.6707 0.0553  3 C 2.22-2.29
C: 0.0211 0.0211 0.7560  1 U 2.22, 5 Sc 2.28-2.38
C: 0.2383 0.5479 0.7172  3 Sc 2.19-2.44, 1 U 2.29
C: 0.4521 0.7617 0.2828  3 Sc 2.19-2.44, 1 U 2.29
C: 0.5479 0.2383 0.7172  3 Sc 2.19-2.44, 1 U 2.29
C: 0.7617 0.4521 0.2828  3 Sc 2.19-2.44, 1 U 2.29
C: 0.9789 0.9789 0.2440  1 U 2.22, 5 Sc 2.28-2.38

Record 5
# Sc2U2C3

A geometry-optimized Sc2U2C3 structure (PBE, Alexandria).

**D(E_F)**: 8.052 states/eV per cell
**DFT total energy**: -9.244 eV per atom
**Formation energy**: -0.257 eV/atom
**Space group**: No. 12

Cell lengths 6.1131, 6.1131, 5.7229 Å; angles 110.37, 110.37, 31.22 degrees
Last column: nearest neighbours and their distance in Å.
Positions (direct):
Sc: 0.1357 0.1357 0.0037  5 C 2.29-2.42
Sc: 0.8643 0.8643 0.9963  5 C 2.29-2.42
U: 0.3913 0.3913 0.5391  4 C 2.34-2.48
U: 0.6087 0.6087 0.4609  4 C 2.34-2.48
C: 0.2362 0.2362 0.7134  3 U 2.34-2.38, 3 Sc 2.36-2.42
C: 0.5000 0.5000 0.0000  4 Sc 2.29, 2 U 2.48
C: 0.7638 0.7638 0.2866  3 U 2.34-2.38, 3 Sc 2.36-2.42

Record 6
# Sc2UWC4

A geometry-optimized Sc2UWC4 structure (PBE, Alexandria).

**D(E_F)**: 10.535 states/eV per cell
**DFT total energy**: -9.294 eV per atom
**Formation energy**: -0.069 eV/atom
**Space group**: No. 63

Cell lengths 6.0165, 6.0165, 11.5546 Å; angles 90.00, 90.00, 147.87 degrees
Last column: nearest neighbours and their distance in Å.
Positions (direct):
Sc: 0.1285 0.8715 0.5340  5 C 2.26-2.50
Sc: 0.1285 0.8715 0.9660  5 C 2.26-2.50
Sc: 0.8715 0.1285 0.0340  5 C 2.26-2.50
Sc: 0.8715 0.1285 0.4660  5 C 2.26-2.50
U: 0.3779 0.6221 0.7500  6 C 2.48-2.58
U: 0.6221 0.3779 0.2500  6 C 2.48-2.58
W: 0.3564 0.6436 0.2500  4 C 1.96-2.07
W: 0.6436 0.3564 0.7500  4 C 1.96-2.07
C: 0.0370 0.9630 0.7500  2 W 2.07
C: 0.2396 0.7604 0.1265  1 W 1.96
C: 0.2396 0.7604 0.3735  1 W 1.96
C: 0.5000 0.5000 0.0000  4 Sc 2.27
C: 0.5000 0.5000 0.5000  4 Sc 2.27
C: 0.7604 0.2396 0.6265  1 W 1.96
C: 0.7604 0.2396 0.8735  1 W 1.96
C: 0.9630 0.0370 0.2500  2 W 2.07